Entry from OQMD via LeMat-Bulk: an optimized crystal structure of ZnSbPbF (PBE).

Computed properties:
Polymorph energy (0 for the lowest one) (meV/atom): 160
Space group: No. 166

The structure in POSCAR format:
```
ZnSbPbF
1.0
2.052 1.184 12.089
-2.052 1.184 12.089
0.000 -2.369 12.089
Sb F Pb Zn
2 2 2 2
Cartesian
0.000 0.000 2.885
0.000 0.000 33.381
0.000 0.000 24.777
0.000 0.000 11.489
0.000 0.000 29.003
0.000 0.000 7.264
0.000 0.000 22.823
0.000 0.000 13.444
```